Record 1
# Pm3Tl2Zn

Pm3Tl2Zn after structural relaxation (PBE, Alexandria).

Structure (extended XYZ):
```
6
Lattice="3.7443 0.0000 0.0000 0.0000 3.7443 0.0000 0.0000 0.0000 11.8303" Properties=species:S:1:pos:R:3 pbc="T T T"
Pm 0.0000 0.0000 0.0000
Pm 0.0000 0.0000 4.1762
Pm 0.0000 0.0000 7.6541
Tl 1.8722 1.8722 2.1001
Tl 1.8722 1.8722 9.7301
Zn 1.8722 1.8722 5.9151
```

**Distance to the lowest polymorph of the same formula**: 0.00 eV/f.u.
**SG**: No. 123
**Energy of formation from the pure elements**: -2.23 eV/f.u.
**Total energy**: -3.747 eV per atom



Record 2
# Pm5Tl5Zn2

Pm5Tl5Zn2 after structural relaxation (PBE, Alexandria).

Structure (extended XYZ):
```
12
Lattice="8.2520 -2.4089 0.0000 8.2520 2.4089 0.0000 -6.5279 0.0000 8.2318" Properties=species:S:1:pos:R:3 pbc="T T T"
Pm 0.0000 0.0000 0.0000
Pm -0.8501 0.0000 3.5262
Pm -2.5613 0.0000 6.8500
Pm 12.5373 0.0000 1.3818
Pm 10.8262 0.0000 4.7056
Tl 2.3191 0.0000 2.3105
Tl 6.4197 0.0000 1.1925
Tl 4.9880 0.0000 4.1159
Tl 3.5564 0.0000 7.0393
Tl 7.6570 0.0000 5.9214
Zn 0.8695 0.0000 6.1609
Zn 9.1065 0.0000 2.0709
```

**SG**: No. 12
**Energy of formation from the pure elements**: -3.92 eV/f.u.
**Total energy**: -3.504 eV per atom



Record 3
# Pm2Tl3Zn

Pm2Tl3Zn after structural relaxation (PBE, Alexandria).

Structure (extended XYZ):
```
6
Lattice="3.7587 0.0000 0.0000 0.0000 4.8825 0.0000 0.0000 0.0000 8.7122" Properties=species:S:1:pos:R:3 pbc="T T T"
Pm 0.0000 0.0000 0.0000
Pm 0.0000 2.4412 4.2397
Tl 1.8794 0.0000 5.5479
Tl 1.8794 2.4412 1.5377
Tl 1.8794 2.4412 7.2371
Zn 1.8794 0.0000 2.7834
```

**SG**: No. 25
**Energy of formation from the pure elements**: -1.56 eV/f.u.
**Total energy**: -3.239 eV per atom



Record 4
# Pm4TlZn

Pm4TlZn after structural relaxation (PBE, Alexandria).

Structure (extended XYZ):
```
6
Lattice="5.1473 0.0000 0.0000 0.0000 5.1473 0.0000 0.0000 0.0000 7.4459" Properties=species:S:1:pos:R:3 pbc="T T T"
Pm 0.0000 2.5736 1.7346
Pm 0.0000 2.5736 5.7113
Pm 2.5736 0.0000 1.7346
Pm 2.5736 0.0000 5.7113
Tl 0.0000 0.0000 3.7229
Zn 2.5736 2.5736 0.0000
```

**Distance to the lowest polymorph of the same formula**: 1.21 eV/f.u.
**SG**: No. 123
**Energy of formation from the pure elements**: -0.02 eV/f.u.
**Total energy**: -3.778 eV per atom



Record 5
# Pm7Tl2Zn2

Pm7Tl2Zn2 after structural relaxation (PBE, Alexandria).

Structure (extended XYZ):
```
11
Lattice="3.9249 -5.6644 0.0000 3.9249 5.6644 0.0000 0.0000 0.0000 7.8130" Properties=species:S:1:pos:R:3 pbc="T T T"
Pm 0.0000 0.0000 0.0000
Pm 1.9625 2.8322 2.1645
Pm 1.9625 2.8322 5.6485
Pm 1.9625 -2.8322 2.1645
Pm 1.9625 -2.8322 5.6485
Pm 3.9249 0.0000 1.8289
Pm 3.9249 0.0000 5.9841
Tl 1.4617 0.0000 3.9065
Tl 6.3881 0.0000 3.9065
Zn 3.9249 2.4463 0.0000
Zn 3.9249 -2.4463 0.0000
```

**SG**: No. 65
**Energy of formation from the pure elements**: -0.28 eV/f.u.
**Total energy**: -3.710 eV per atom



Record 6
# Pm12Tl5Zn2

Pm12Tl5Zn2 after structural relaxation (PBE, Alexandria).

Structure (extended XYZ):
```
19
Lattice="8.7494 -3.6590 0.0000 8.7494 3.6590 0.0000 -1.0835 0.0000 9.1686" Properties=species:S:1:pos:R:3 pbc="T T T"
Pm -0.1454 0.0000 1.7957
Pm 5.3535 1.8019 5.1647
Pm 5.0101 1.8289 9.0777
Pm 11.4053 1.8289 0.0909
Pm 11.0618 1.8019 4.0039
Pm 7.8416 0.0000 2.9157
Pm 8.5737 0.0000 6.2529
Pm 5.3535 -1.8019 5.1647
Pm 5.0101 -1.8289 9.0777
Pm 11.4053 -1.8289 0.0909
Pm 11.0618 -1.8019 4.0039
Pm 16.5607 0.0000 7.3729
Tl 2.7337 0.0000 6.7833
Tl 4.5194 0.0000 2.3216
Tl 8.7494 0.0000 0.0000
Tl 11.8960 0.0000 6.8470
Tl 13.6816 0.0000 2.3852
Zn 8.2077 2.4451 4.5843
Zn 8.2077 -2.4451 4.5843
```

**SG**: No. 12
**Energy of formation from the pure elements**: -3.05 eV/f.u.
**Total energy**: -3.918 eV per atom



Record 7
# Pm2TlZn6

Pm2TlZn6 after structural relaxation (PBE, Alexandria).

Structure (extended XYZ):
```
9
Lattice="7.9140 0.0000 0.0000 -3.9570 6.8537 0.0000 0.0000 0.0000 3.5475" Properties=species:S:1:pos:R:3 pbc="T T T"
Pm 0.0000 4.5691 0.0000
Pm 3.9570 2.2846 0.0000
Tl 0.0000 0.0000 0.0000
Zn -1.3041 2.2588 1.7737
Zn -2.6529 4.5949 1.7737
Zn 2.6082 0.0000 1.7737
Zn 1.3041 2.2588 1.7737
Zn 5.3057 0.0000 1.7737
Zn 2.6529 4.5949 1.7737
```

**SG**: No. 191
**Energy of formation from the pure elements**: -1.65 eV/f.u.
**Total energy**: -2.352 eV per atom



Record 8
# Pm3Tl3Zn2

Pm3Tl3Zn2 after structural relaxation (PBE, Alexandria).

Structure (extended XYZ):
```
16
Lattice="2.3368 -5.7034 0.0000 2.3368 5.7034 0.0000 0.0000 0.0000 15.7008" Properties=species:S:1:pos:R:3 pbc="T T T"
Pm 2.3368 4.7578 9.5924
Pm 2.3368 4.7578 13.9588
Pm 2.3368 1.6519 11.7756
Pm 2.3368 -1.6519 3.9252
Pm 2.3368 -4.7578 1.7420
Pm 2.3368 -4.7578 6.1084
Tl 2.3368 1.6057 3.9252
Tl 2.3368 1.4353 8.4389
Tl 2.3368 1.4353 15.1122
Tl 2.3368 -1.4353 0.5886
Tl 2.3368 -1.4353 7.2618
Tl 2.3368 -1.6057 11.7756
Zn 2.3368 3.3287 1.7095
Zn 2.3368 3.3287 6.1409
Zn 2.3368 -3.3287 9.5598
Zn 2.3368 -3.3287 13.9913
```

**SG**: No. 63
**Energy of formation from the pure elements**: -2.57 eV/f.u.
**Total energy**: -3.308 eV per atom